Density functional theory data (PBE) for a geometry-optimized LiCeErPd structure.

Summary:
ΔH_f (0 K)	-0.280	eV/atom
spin magnetization	1.0	μB per formula unit
theoretical density	7.65	g/cm3
crystal system	cubic
density of states at the Fermi level	8.39	states/eV/f.u.

Geometry as CIF:
```
data_LiCeErPd
_chemical_formula_sum 'Li1 Ce1 Er1 Pd1'
_symmetry_space_group_name_H-M 'P 1'
_symmetry_Int_Tables_number 1
_cell_length_a 5.0548
_cell_length_b 5.0548
_cell_length_c 5.0548
_cell_angle_alpha 60.00
_cell_angle_beta 60.00
_cell_angle_gamma 60.00
loop_
_symmetry_equiv_pos_as_xyz
'x,y,z'
loop_
_atom_site_label
_atom_site_fract_x
_atom_site_fract_y
_atom_site_fract_z
Ce1 0.7500 0.7500 0.7500
Li1 0.5000 0.5000 0.5000
Pd1 0.0000 0.0000 0.0000
Er1 0.2500 0.2500 0.2500
```